# NbCrSbTe2

A relaxed structure of NbCrSbTe2 (PBE, the Alexandria database).

calculated density: 6.4 g/cm³
space group: P4/mmm, No. 123
DOS at the Fermi energy: 4.231 states/eV/cell
polymorph energy (0 for the lowest one): 165.0 meV per atom
uncorrected formation energy: 0.7733 eV/atom
total moment: 5.3 Bohr magnetons per cell

Cell: 5.1773 5.1773 5.0282 Å, 90.00 90.00 90.00°
Last column: nearest neighbours and their distance in Å.
Atoms (fractional coordinates):
Nb 0.0000 0.0000 0.0000  8 Te 3.61, 4 Sb 3.66
Cr 0.5000 0.5000 0.5000  2 Sb 2.51, 4 Te 2.59
Sb 0.5000 0.5000 0.0000  2 Cr 2.51
Te 0.0000 0.5000 0.5000  2 Cr 2.59
Te 0.5000 0.0000 0.5000  2 Cr 2.59

# MnZn3Cr

A relaxed structure of MnZn3Cr (PBE, the Alexandria database).

calculated density: 5.0 g/cm³
space group: Pm-3m, No. 221
DOS at the Fermi energy: 4.414 states/eV/cell
polymorph energy (0 for the lowest one): 0.0 meV per atom
ΔH_f (0 K): 0.8656 eV per atom
total moment: 2.1 Bohr magnetons per cell

Cell: 4.6438 4.6438 4.6438 Å, 90.00 90.00 90.00°
Last column: nearest neighbours and their distance in Å.
Atoms (fractional coordinates):
Mn 0.0000 0.0000 0.0000  6 Zn 2.32
Zn 0.0000 0.0000 0.5000  2 Mn 2.32
Zn 0.0000 0.5000 0.0000  2 Mn 2.32
Zn 0.5000 0.0000 0.0000  2 Mn 2.32
Cr 0.5000 0.5000 0.5000  12 Zn 3.28

# POsC3

A relaxed structure of POsC3 (PBE, the Alexandria database).

calculated density: 9.0 g/cm³
space group: Pm-3m, No. 221
DOS at the Fermi energy: 4.058 states/eV/cell
polymorph energy (0 for the lowest one): 0.0 meV per atom
ΔH_f (0 K): 2.2853 eV per atom
total moment: 0.0 Bohr magnetons per cell

Cell: 3.6185 3.6185 3.6185 Å, 90.00 90.00 90.00°
Last column: nearest neighbours and their distance in Å.
Atoms (fractional coordinates):
P 0.0000 0.0000 0.0000  6 C 1.81
Os 0.5000 0.5000 0.5000  12 C 2.56
C 0.0000 0.0000 0.5000  2 P 1.81
C 0.0000 0.5000 0.0000  2 P 1.81
C 0.5000 0.0000 0.0000  2 P 1.81

- Among the records above, which one has the highest polymorph energy (0 for the lowest one)?
  NbCrSbTe2

Repeat the third record exactly.
# POsC3

A relaxed structure of POsC3 (PBE, the Alexandria database).

calculated density: 9.0 g/cm³
space group: Pm-3m, No. 221
DOS at the Fermi energy: 4.058 states/eV/cell
polymorph energy (0 for the lowest one): 0.0 meV per atom
ΔH_f (0 K): 2.2853 eV per atom
total moment: 0.0 Bohr magnetons per cell

Cell: 3.6185 3.6185 3.6185 Å, 90.00 90.00 90.00°
Last column: nearest neighbours and their distance in Å.
Atoms (fractional coordinates):
P 0.0000 0.0000 0.0000  6 C 1.81
Os 0.5000 0.5000 0.5000  12 C 2.56
C 0.0000 0.0000 0.5000  2 P 1.81
C 0.0000 0.5000 0.0000  2 P 1.81
C 0.5000 0.0000 0.0000  2 P 1.81